The following is a DFT calculation (PBE) of crystalline Th8C3Se4N at its relaxed geometry.

Summary:
N(E_F): 6.85 states/eV/cell
symmetry: R-3m
E: -8.030 eV/atom

a = 7.718 Å, b = 8.277 Å, c = 7.719 Å
α = 117.80°, β = 120.00°, γ = 90.00°
Atoms (fractional coordinates):
Th 0.232 0.699 0.967
Th 0.232 0.699 0.465
Th 0.267 0.300 0.533
Th 0.735 0.699 0.967
Th 0.265 0.301 0.033
Th 0.733 0.700 0.467
Th 0.768 0.301 0.535
Th 0.768 0.301 0.033
C 0.500 0.500 0.000
C 0.500 0.500 0.500
C 0.000 0.500 0.500
Se 0.500 0.000 0.000
Se 0.500 0.000 0.500
Se 0.000 0.000 0.000
Se 0.000 0.000 0.500
N 0.000 0.500 0.000